Entry 1:
A plane-wave DFT calculation with PBE-GGA was carried out for crystalline TeHPd at its relaxed geometry.

Distance to the lowest polymorph of the same formula, meV/atom: 108
Density, Mg/m³: 7.822
D(E_F), states/eV/atom: 0.319

Geometry as CIF:
```
data_TeHPd
_chemical_formula_sum 'Te1 H1 Pd1'
_cell_length_a 4.3356
_cell_length_b 4.3356
_cell_length_c 4.3356
_cell_angle_alpha 127.38
_cell_angle_beta 127.38
_cell_angle_gamma 77.63
_space_group_name_H-M_alt 'P 1'
_space_group_IT_number 1
loop_
_space_group_symop_operation_xyz
'x,y,z'
loop_
_atom_site_label
_atom_site_type_symbol
_atom_site_fract_x
_atom_site_fract_y
_atom_site_fract_z
_atom_site_occupancy
Te1 Te 0.0000 0.0000 0.0000 1
H1 H 0.6528 0.6528 0.0000 1
Pd1 Pd 0.4151 0.4151 0.0000 1
```

---

Entry 2:
A plane-wave DFT calculation with PBE-GGA was carried out for crystalline Fe2ReRu2 at its relaxed geometry.

Distance to the lowest polymorph of the same formula, meV/atom: 135
Density, Mg/m³: 12.696
D(E_F), states/eV/atom: 1.374
ΔH_f (0 K), eV/atom: 0.337

Geometry as CIF:
```
data_Fe2ReRu2
_chemical_formula_sum 'Fe4 Re2 Ru4'
_cell_length_a 7.0343
_cell_length_b 7.0343
_cell_length_c 2.6435
_cell_angle_alpha 90.00
_cell_angle_beta 90.00
_cell_angle_gamma 90.00
_space_group_name_H-M_alt 'P 1'
_space_group_IT_number 1
loop_
_space_group_symop_operation_xyz
'x,y,z'
loop_
_atom_site_label
_atom_site_type_symbol
_atom_site_fract_x
_atom_site_fract_y
_atom_site_fract_z
_atom_site_occupancy
Fe1 Fe 0.1710 0.3290 0.0000 1
Fe2 Fe 0.3290 0.8290 0.0000 1
Fe3 Fe 0.6710 0.1710 0.0000 1
Fe4 Fe 0.8290 0.6710 0.0000 1
Re1 Re 0.0000 0.0000 0.5000 1
Re2 Re 0.5000 0.5000 0.5000 1
Ru1 Ru 0.1264 0.6264 0.5000 1
Ru2 Ru 0.3736 0.1264 0.5000 1
Ru3 Ru 0.6264 0.8736 0.5000 1
Ru4 Ru 0.8736 0.3736 0.5000 1
```

---

Entry 3:
A plane-wave DFT calculation with PBE-GGA was carried out for crystalline DyHoGeIr at its relaxed geometry.

Distance to the lowest polymorph of the same formula, meV/atom: 165
Density, Mg/m³: 11.491
D(E_F), states/eV/atom: 0.704
ΔH_f (0 K), eV/atom: -0.702

Geometry as CIF:
```
data_DyHoGeIr
_chemical_formula_sum 'Dy1 Ho1 Ge1 Ir1'
_cell_length_a 4.9467
_cell_length_b 4.9467
_cell_length_c 4.9467
_cell_angle_alpha 60.00
_cell_angle_beta 60.00
_cell_angle_gamma 60.00
_space_group_name_H-M_alt 'P 1'
_space_group_IT_number 1
loop_
_space_group_symop_operation_xyz
'x,y,z'
loop_
_atom_site_label
_atom_site_type_symbol
_atom_site_fract_x
_atom_site_fract_y
_atom_site_fract_z
_atom_site_occupancy
Dy1 Dy 0.0000 0.0000 0.0000 1
Ho1 Ho 0.5000 0.5000 0.5000 1
Ge1 Ge 0.7500 0.7500 0.7500 1
Ir1 Ir 0.2500 0.2500 0.2500 1
```

---

Entry 4:
A plane-wave DFT calculation with PBE-GGA was carried out for crystalline YFe2Ni5 at its relaxed geometry.

Density, Mg/m³: 7.402
D(E_F), states/eV/atom: 0.687
ΔH_f (0 K), eV/atom: -0.013

Geometry as CIF:
```
data_YFe2Ni5
_chemical_formula_sum 'Y1 Fe2 Ni5'
_cell_length_a 5.9285
_cell_length_b 5.9285
_cell_length_c 5.9285
_cell_angle_alpha 143.95
_cell_angle_beta 112.13
_cell_angle_gamma 79.33
_space_group_name_H-M_alt 'P 1'
_space_group_IT_number 1
loop_
_space_group_symop_operation_xyz
'x,y,z'
loop_
_atom_site_label
_atom_site_type_symbol
_atom_site_fract_x
_atom_site_fract_y
_atom_site_fract_z
_atom_site_occupancy
Y1 Y 0.0000 0.0000 0.0000 1
Fe1 Fe 0.2509 0.7509 0.5000 1
Fe2 Fe 0.7491 0.2491 0.5000 1
Ni1 Ni 0.1710 0.3578 0.8132 1
Ni2 Ni 0.4554 0.6422 0.8132 1
Ni3 Ni 0.5000 0.0000 0.5000 1
Ni4 Ni 0.5446 0.3578 0.1868 1
Ni5 Ni 0.8290 0.6422 0.1868 1
```

---

Entry 5:
A plane-wave DFT calculation with PBE-GGA was carried out for crystalline PmNdGe2 at its relaxed geometry.

Density, Mg/m³: 7.351
D(E_F), states/eV/atom: 0.636
ΔH_f (0 K), eV/atom: -0.632

Geometry as CIF:
```
data_PmNdGe2
_chemical_formula_sum 'Pm1 Nd1 Ge2'
_cell_length_a 3.4408
_cell_length_b 3.4408
_cell_length_c 8.2904
_cell_angle_alpha 90.00
_cell_angle_beta 90.00
_cell_angle_gamma 90.00
_space_group_name_H-M_alt 'P 1'
_space_group_IT_number 1
loop_
_space_group_symop_operation_xyz
'x,y,z'
loop_
_atom_site_label
_atom_site_type_symbol
_atom_site_fract_x
_atom_site_fract_y
_atom_site_fract_z
_atom_site_occupancy
Pm1 Pm 0.0000 0.0000 0.0000 1
Nd1 Nd 0.0000 0.0000 0.5000 1
Ge1 Ge 0.5000 0.5000 0.2482 1
Ge2 Ge 0.5000 0.5000 0.7518 1
```

---

Entry 6:
A plane-wave DFT calculation with PBE-GGA was carried out for crystalline BeAs4Rh at its relaxed geometry.

Density, Mg/m³: 6.242
D(E_F), states/eV/atom: 0.782
ΔH_f (0 K), eV/atom: 0.812

Geometry as CIF:
```
data_BeAs4Rh
_chemical_formula_sum 'Be1 As4 Rh1'
_cell_length_a 5.3700
_cell_length_b 5.3700
_cell_length_c 5.3700
_cell_angle_alpha 60.00
_cell_angle_beta 60.00
_cell_angle_gamma 60.00
_space_group_name_H-M_alt 'P 1'
_space_group_IT_number 1
loop_
_space_group_symop_operation_xyz
'x,y,z'
loop_
_atom_site_label
_atom_site_type_symbol
_atom_site_fract_x
_atom_site_fract_y
_atom_site_fract_z
_atom_site_occupancy
Be1 Be 0.0000 0.0000 0.0000 1
As1 As 0.1207 0.6264 0.6264 1
As2 As 0.6264 0.1207 0.6264 1
As3 As 0.6264 0.6264 0.1207 1
As4 As 0.6264 0.6264 0.6264 1
Rh1 Rh 0.2500 0.2500 0.2500 1
```

---

Entry 7:
A plane-wave DFT calculation with PBE-GGA was carried out for crystalline Ac4AgRhI2 at its relaxed geometry.

Density, Mg/m³: 7.458
D(E_F), states/eV/atom: 0.643
Uncorrected formation energy, eV/atom: -0.81

Geometry as CIF:
```
data_Ac4AgRhI2
_chemical_formula_sum 'Ac4 Ag1 Rh1 I2'
_cell_length_a 7.8924
_cell_length_b 4.4810
_cell_length_c 9.0313
_cell_angle_alpha 90.00
_cell_angle_beta 106.91
_cell_angle_gamma 90.00
_space_group_name_H-M_alt 'P 1'
_space_group_IT_number 1
loop_
_space_group_symop_operation_xyz
'x,y,z'
loop_
_atom_site_label
_atom_site_type_symbol
_atom_site_fract_x
_atom_site_fract_y
_atom_site_fract_z
_atom_site_occupancy
Ac1 Ac 0.2153 0.0000 0.1873 1
Ac2 Ac 0.2456 0.5000 0.8086 1
Ac3 Ac 0.7544 0.5000 0.1914 1
Ac4 Ac 0.7847 0.0000 0.8127 1
Ag1 Ag 0.5000 0.0000 0.0000 1
Rh1 Rh 0.0000 0.5000 0.0000 1
I1 I 0.0000 0.0000 0.5000 1
I2 I 0.5000 0.5000 0.5000 1
```

---

Entry 8:
A plane-wave DFT calculation with PBE-GGA was carried out for crystalline Y2Ni12As7 at its relaxed geometry.

Distance to the lowest polymorph of the same formula, meV/atom: 0
Density, Mg/m³: 7.987
D(E_F), states/eV/atom: 0.645
ΔH_f (0 K), eV/atom: -0.538

Geometry as CIF:
```
data_Y2Ni12As7
_chemical_formula_sum 'Y2 Ni12 As7'
_cell_length_a 9.3679
_cell_length_b 9.3679
_cell_length_c 3.8480
_cell_angle_alpha 90.00
_cell_angle_beta 90.00
_cell_angle_gamma 120.00
_space_group_name_H-M_alt 'P 1'
_space_group_IT_number 1
loop_
_space_group_symop_operation_xyz
'x,y,z'
loop_
_atom_site_label
_atom_site_type_symbol
_atom_site_fract_x
_atom_site_fract_y
_atom_site_fract_z
_atom_site_occupancy
Y1 Y 0.0000 0.0000 0.0000 1
Y2 Y 0.3333 0.6667 0.5000 1
Ni1 Ni 0.0477 0.7712 0.5000 1
Ni2 Ni 0.0918 0.3817 0.0000 1
Ni3 Ni 0.2288 0.2764 0.5000 1
Ni4 Ni 0.2900 0.9082 0.0000 1
Ni5 Ni 0.4582 0.2387 0.0000 1
Ni6 Ni 0.5156 0.0534 0.5000 1
Ni7 Ni 0.5378 0.4844 0.5000 1
Ni8 Ni 0.6183 0.7100 0.0000 1
Ni9 Ni 0.7236 0.9523 0.5000 1
Ni10 Ni 0.7613 0.2194 0.0000 1
Ni11 Ni 0.7806 0.5418 0.0000 1
Ni12 Ni 0.9466 0.4622 0.5000 1
As1 As 0.0730 0.6314 0.0000 1
As2 As 0.2630 0.0461 0.5000 1
As3 As 0.3686 0.4416 0.0000 1
As4 As 0.5584 0.9270 0.0000 1
As5 As 0.6667 0.3333 0.5000 1
As6 As 0.7831 0.7370 0.5000 1
As7 As 0.9539 0.2169 0.5000 1
```

---

Entry 9:
A plane-wave DFT calculation with PBE-GGA was carried out for crystalline Cs2Sn3Se8 at its relaxed geometry.

Density, Mg/m³: 4.323
D(E_F), states/eV/atom: 0.367
Uncorrected formation energy, eV/atom: -0.46

Geometry as CIF:
```
data_Cs2Sn3Se8
_chemical_formula_sum 'Cs2 Sn3 Se8'
_cell_length_a 10.0551
_cell_length_b 10.0551
_cell_length_c 7.1022
_cell_angle_alpha 106.42
_cell_angle_beta 106.42
_cell_angle_gamma 44.77
_space_group_name_H-M_alt 'P 1'
_space_group_IT_number 1
loop_
_space_group_symop_operation_xyz
'x,y,z'
loop_
_atom_site_label
_atom_site_type_symbol
_atom_site_fract_x
_atom_site_fract_y
_atom_site_fract_z
_atom_site_occupancy
Cs1 Cs 0.2352 0.2352 0.2039 1
Cs2 Cs 0.7648 0.7648 0.7961 1
Sn1 Sn 0.2472 0.7528 0.5000 1
Sn2 Sn 0.5000 0.5000 0.0000 1
Sn3 Sn 0.7528 0.2472 0.5000 1
Se1 Se 0.0912 0.0912 0.4387 1
Se2 Se 0.1929 0.6204 0.1181 1
Se3 Se 0.3796 0.8071 0.8819 1
Se4 Se 0.4120 0.4120 0.6086 1
Se5 Se 0.5880 0.5880 0.3914 1
Se6 Se 0.6204 0.1929 0.1181 1
Se7 Se 0.8071 0.3796 0.8819 1
Se8 Se 0.9088 0.9088 0.5613 1
```

---

Entry 10:
A plane-wave DFT calculation with PBE-GGA was carried out for crystalline TiS2O8 at its relaxed geometry.

Distance to the lowest polymorph of the same formula, meV/atom: 1
Density, Mg/m³: 2.781
D(E_F), states/eV/atom: 0.000
Uncorrected formation energy, eV/atom: -1.71

Geometry as CIF:
```
data_TiS2O8
_chemical_formula_sum 'Ti8 S16 O64'
_cell_length_a 9.1422
_cell_length_b 13.5526
_cell_length_c 9.2529
_cell_angle_alpha 90.00
_cell_angle_beta 90.00
_cell_angle_gamma 90.00
_space_group_name_H-M_alt 'P 1'
_space_group_IT_number 1
loop_
_space_group_symop_operation_xyz
'x,y,z'
loop_
_atom_site_label
_atom_site_type_symbol
_atom_site_fract_x
_atom_site_fract_y
_atom_site_fract_z
_atom_site_occupancy
Ti1 Ti 0.1181 0.1282 0.1427 1
Ti2 Ti 0.1181 0.3718 0.6427 1
Ti3 Ti 0.3819 0.6282 0.1427 1
Ti4 Ti 0.3819 0.8718 0.6427 1
Ti5 Ti 0.6181 0.1282 0.3573 1
Ti6 Ti 0.6181 0.3718 0.8573 1
Ti7 Ti 0.8819 0.6282 0.3573 1
Ti8 Ti 0.8819 0.8718 0.8573 1
S1 S 0.0531 0.7126 0.0702 1
S2 S 0.0531 0.7874 0.5702 1
S3 S 0.1765 0.0167 0.8382 1
S4 S 0.1765 0.4833 0.3382 1
S5 S 0.3235 0.5167 0.8382 1
S6 S 0.3235 0.9833 0.3382 1
S7 S 0.4469 0.2126 0.0702 1
S8 S 0.4469 0.2874 0.5702 1
S9 S 0.5531 0.7126 0.4298 1
S10 S 0.5531 0.7874 0.9298 1
S11 S 0.6765 0.0167 0.6618 1
S12 S 0.6765 0.4833 0.1618 1
S13 S 0.8235 0.5167 0.6618 1
S14 S 0.8235 0.9833 0.1618 1
S15 S 0.9469 0.2126 0.4298 1
S16 S 0.9469 0.2874 0.9298 1
O1 O 0.0102 0.6886 0.5081 1
O2 O 0.0102 0.8114 0.0081 1
O3 O 0.0116 0.6305 0.9832 1
O4 O 0.0116 0.8695 0.4832 1
O5 O 0.0177 0.2118 0.2809 1
O6 O 0.0177 0.2882 0.7809 1
O7 O 0.0219 0.5201 0.3237 1
O8 O 0.0219 0.9799 0.8237 1
O9 O 0.2013 0.0355 0.9970 1
O10 O 0.2013 0.4645 0.4970 1
O11 O 0.2063 0.1004 0.7503 1
O12 O 0.2063 0.3996 0.2503 1
O13 O 0.2165 0.7186 0.0977 1
O14 O 0.2165 0.7814 0.5977 1
O15 O 0.2295 0.0723 0.3010 1
O16 O 0.2295 0.4277 0.8010 1
O17 O 0.2705 0.5723 0.3010 1
O18 O 0.2705 0.9277 0.8010 1
O19 O 0.2835 0.2186 0.0977 1
O20 O 0.2835 0.2814 0.5977 1
O21 O 0.2937 0.6004 0.7503 1
O22 O 0.2937 0.8996 0.2503 1
O23 O 0.2988 0.5355 0.9970 1
O24 O 0.2988 0.9645 0.4970 1
O25 O 0.4781 0.0201 0.3237 1
O26 O 0.4781 0.4799 0.8237 1
O27 O 0.4823 0.7118 0.2809 1
O28 O 0.4823 0.7882 0.7809 1
O29 O 0.4884 0.1305 0.9832 1
O30 O 0.4884 0.3695 0.4832 1
O31 O 0.4898 0.1886 0.5081 1
O32 O 0.4898 0.3114 0.0081 1
O33 O 0.5102 0.6886 0.9919 1
O34 O 0.5102 0.8114 0.4919 1
O35 O 0.5116 0.6305 0.5168 1
O36 O 0.5116 0.8695 0.0168 1
O37 O 0.5177 0.2118 0.2191 1
O38 O 0.5177 0.2882 0.7191 1
O39 O 0.5219 0.5201 0.1763 1
O40 O 0.5219 0.9799 0.6763 1
O41 O 0.7012 0.0355 0.5030 1
O42 O 0.7012 0.4645 0.0030 1
O43 O 0.7063 0.1004 0.7497 1
O44 O 0.7063 0.3996 0.2497 1
O45 O 0.7165 0.7186 0.4023 1
O46 O 0.7165 0.7814 0.9023 1
O47 O 0.7295 0.0723 0.1990 1
O48 O 0.7295 0.4277 0.6990 1
O49 O 0.7705 0.5723 0.1990 1
O50 O 0.7705 0.9277 0.6990 1
O51 O 0.7835 0.2186 0.4023 1
O52 O 0.7835 0.2814 0.9023 1
O53 O 0.7937 0.6004 0.7497 1
O54 O 0.7937 0.8996 0.2497 1
O55 O 0.7988 0.5355 0.5030 1
O56 O 0.7988 0.9645 0.0030 1
O57 O 0.9781 0.0201 0.1763 1
O58 O 0.9781 0.4799 0.6763 1
O59 O 0.9823 0.7118 0.2191 1
O60 O 0.9823 0.7882 0.7191 1
O61 O 0.9884 0.1305 0.5168 1
O62 O 0.9884 0.3695 0.0168 1
O63 O 0.9898 0.1886 0.9919 1
O64 O 0.9898 0.3114 0.4919 1
```